1.
First-principles (PBE) data for crystalline ZrZnB2Te at its relaxed geometry, as listed in Alexandria.

a b c (Å): 4.0329 5.6342 4.0329
angles (deg): 90.00 90.00 90.00
Atoms (fractional coordinates):
Zr: 0.0000 0.5000 0.0000
B: 0.5000 0.0000 0.0000
Te: 0.5000 0.5000 0.5000
Zn: 0.0000 0.0000 0.0000
B: 0.0000 0.0000 0.5000

Computed properties:
- DFT total energy (eV/cell) = -21.312
- space-group type = P4/mmm (123)
- E_form (uncorrected) (eV/atom) = 1.00


2.
First-principles (PBE) data for crystalline Zr2BTe at its relaxed geometry, as listed in Alexandria.

a b c (Å): 6.0268 6.0268 6.9557
angles (deg): 64.33 64.33 90.00
Atoms (fractional coordinates):
B: 0.5000 0.5000 0.0000
Zr: 0.3750 0.4628 0.7500
Te: 0.7500 0.2500 0.5000
Zr: 0.8750 0.7872 0.7500
Zr: 0.5372 0.1250 0.2500
Te: 0.0000 0.0000 0.0000
Zr: 0.2128 0.6250 0.2500
B: 0.2500 0.7500 0.5000

Computed properties:
- DFT total energy (eV/cell) = -54.585
- space-group type = I-42d (122)
- E_form (uncorrected) (eV/atom) = -0.09


3.
First-principles (PBE) data for crystalline Zr2BTe at its relaxed geometry, as listed in Alexandria.

a b c (Å): 3.6609 3.6609 7.0939
angles (deg): 75.05 75.05 60.00
Atoms (fractional coordinates):
Te: 0.5000 0.5000 0.5000
Zr: 0.2720 0.2720 0.1841
B: 0.0000 0.0000 0.0000
Zr: 0.7280 0.7280 0.8159

Computed properties:
- DFT total energy (eV/cell) = -29.939
- space-group type = R-3m (166)
- E_form (uncorrected) (eV/atom) = -0.76


4.
First-principles (PBE) data for crystalline ZrBTe2 at its relaxed geometry, as listed in Alexandria.

a b c (Å): 8.8923 8.8923 8.8923
angles (deg): 22.44 22.44 22.44
Atoms (fractional coordinates):
Te: 0.1101 0.1101 0.1101
B: 0.5000 0.5000 0.5000
Te: 0.8899 0.8899 0.8899
Zr: 0.0000 0.0000 0.0000

Computed properties:
- DFT total energy (eV/cell) = -19.027
- space-group type = R-3m (166)
- E_form (uncorrected) (eV/atom) = 0.62


5.
First-principles (PBE) data for crystalline ZrBTe at its relaxed geometry, as listed in Alexandria.

a b c (Å): 4.5806 4.5806 4.5806
angles (deg): 60.00 60.00 60.00
Atoms (fractional coordinates):
Te: 0.5000 0.5000 0.5000
B: 0.0000 0.0000 0.0000
Zr: 0.7500 0.7500 0.7500

Computed properties:
- DFT total energy (eV/cell) = -16.084
- space-group type = F-43m (216)
- E_form (uncorrected) (eV/atom) = 0.76


6.
First-principles (PBE) data for crystalline ZrBTe2 at its relaxed geometry, as listed in Alexandria.

a b c (Å): 6.3745 6.3745 6.6019
angles (deg): 61.13 61.13 90.00
Atoms (fractional coordinates):
Te: 0.5495 0.1250 0.2500
Zr: 0.7500 0.2500 0.5000
Te: 0.3750 0.4505 0.7500
B: 0.2500 0.7500 0.5000
Te: 0.2005 0.6250 0.2500
Te: 0.8750 0.7995 0.7500
Zr: 0.0000 0.0000 0.0000
B: 0.5000 0.5000 0.0000

Computed properties:
- DFT total energy (eV/cell) = -40.200
- space-group type = I-42d (122)
- E_form (uncorrected) (eV/atom) = 0.35


7.
First-principles (PBE) data for crystalline Zr2BTe at its relaxed geometry, as listed in Alexandria.

a b c (Å): 4.7437 4.7437 4.7437
angles (deg): 60.00 60.00 60.00
Atoms (fractional coordinates):
Zr: 0.7500 0.7500 0.7500
B: 0.0000 0.0000 0.0000
Zr: 0.2500 0.2500 0.2500
Te: 0.5000 0.5000 0.5000

Computed properties:
- DFT total energy (eV/cell) = -26.460
- space-group type = Fm-3m (225)
- E_form (uncorrected) (eV/atom) = 0.11


8.
First-principles (PBE) data for crystalline ZrBTe at its relaxed geometry, as listed in Alexandria.

a b c (Å): 3.7665 3.8670 10.3353
angles (deg): 86.58 79.50 60.86
Atoms (fractional coordinates):
B: 0.4496 0.6556 0.4452
Te: 0.2770 0.2936 0.1523
Zr: 0.1610 0.0227 0.6553
Zr: 0.8390 0.9773 0.3447
Te: 0.7230 0.7064 0.8477
B: 0.5504 0.3444 0.5548

Computed properties:
- DFT total energy (eV/cell) = -38.907
- space-group type = C2/m (12)
- E_form (uncorrected) (eV/atom) = -0.36


9.
First-principles (PBE) data for crystalline ZrBTe2 at its relaxed geometry, as listed in Alexandria.

a b c (Å): 8.3386 8.3386 8.3386
angles (deg): 26.52 26.52 26.52
Atoms (fractional coordinates):
Te: 0.9126 0.9126 0.9126
Zr: 0.5000 0.5000 0.5000
Te: 0.0874 0.0874 0.0874
B: 0.0000 0.0000 0.0000

Computed properties:
- DFT total energy (eV/cell) = -19.969
- space-group type = R-3m (166)
- E_form (uncorrected) (eV/atom) = 0.38


10.
First-principles (PBE) data for crystalline ZrB3Te at its relaxed geometry, as listed in Alexandria.

a b c (Å): 4.3384 4.3384 4.3384
angles (deg): 90.00 90.00 90.00
Atoms (fractional coordinates):
B: 0.5000 0.0000 0.0000
B: 0.0000 0.0000 0.5000
B: 0.0000 0.5000 0.0000
Te: 0.0000 0.0000 0.0000
Zr: 0.5000 0.5000 0.5000

Computed properties:
- DFT total energy (eV/cell) = -22.363
- space-group type = Pm-3m (221)
- E_form (uncorrected) (eV/atom) = 1.87


11.
First-principles (PBE) data for crystalline Zr5B2Te at its relaxed geometry, as listed in Alexandria.

a b c (Å): 6.7301 6.7301 7.9840
angles (deg): 114.93 114.93 90.00
Atoms (fractional coordinates):
Zr: 0.5000 0.5000 0.0000
Zr: 0.0000 0.0000 0.0000
Te: 0.7500 0.7500 0.5000
Te: 0.2500 0.2500 0.5000
Zr: 0.2984 0.7984 0.2558
Zr: 0.9574 0.4574 0.2558
B: 0.3933 0.8933 0.0000
Zr: 0.4574 0.2984 0.2558
Zr: 0.7984 0.9574 0.2558
B: 0.1067 0.3933 0.0000
Zr: 0.2016 0.0426 0.7442
B: 0.8933 0.6067 0.0000
B: 0.6067 0.1067 0.0000
Zr: 0.0426 0.5426 0.7442
Zr: 0.7016 0.2016 0.7442
Zr: 0.5426 0.7016 0.7442

Computed properties:
- DFT total energy (eV/cell) = -127.060
- space-group type = I4/mcm (140)
- E_form (uncorrected) (eV/atom) = -0.54


12.
First-principles (PBE) data for crystalline ZrB3Te at its relaxed geometry, as listed in Alexandria.

a b c (Å): 4.5470 4.5470 4.5470
angles (deg): 90.00 90.00 90.00
Atoms (fractional coordinates):
Te: 0.5000 0.5000 0.5000
B: 0.5000 0.0000 0.0000
B: 0.0000 0.5000 0.0000
B: 0.0000 0.0000 0.5000
Zr: 0.0000 0.0000 0.0000

Computed properties:
- DFT total energy (eV/cell) = -22.850
- space-group type = Pm-3m (221)
- E_form (uncorrected) (eV/atom) = 1.77